Computed, not measured: a relaxed structure of MnNiIr6 at the PBE level of DFT.

Cell: 5.397 5.397 3.798 Å, 90.00 90.00 90.00°
Space group P4/mmm (No. 123)
One atom of each set of equivalent atoms:
Mn1 0.000 0.000 0.000 x1
Ni1 0.500 0.500 0.000 x1
Ir1 0.000 0.500 0.000 x2
Ir2 0.248 0.248 0.500 x4

* density of states at the Fermi level: 1.192 states/eV/atom
* ΔH_f (0 K): -0.041 eV/atom



Computed, not measured: a relaxed structure of Sr2PrHg4 at the PBE level of DFT.

Cell: 5.646 5.646 14.271 Å, 90.00 90.00 90.00°
Space group I4/mmm (No. 139)
One atom of each set of equivalent atoms:
Sr1 0.000 0.000 0.230 x4
Pr1 0.000 0.000 0.500 x2
Hg1 0.000 0.500 0.112 x8

* density of states at the Fermi level: 0.831 states/eV/atom
* ΔH_f (0 K): -0.401 eV/atom



Computed, not measured: a relaxed structure of Mn4AgHg at the PBE level of DFT.

Cell: 7.061 7.061 7.061 Å, 90.00 90.00 90.00°
Space group F-43m (No. 216)
One atom of each set of equivalent atoms:
Mn1 0.125 0.125 0.125 x16
Ag1 0.000 0.000 0.500 x4
Hg1 0.250 0.250 0.750 x4

* density of states at the Fermi level: 1.145 states/eV/atom
* ΔH_f (0 K): 0.497 eV/atom